#w
## Nb2VMo2 (GGA-PBE)

Data for a relaxed structure of Nb2VMo2.

Lattice parameters (Å, degrees): 4.5657 5.3271 7.2217 90.00 108.43 90.00
With the nearest neighbours (Å) after each atom.
Atoms (fractional coordinates):
Nb 0.8030 0.3916 0.6061  6 Mo 2.63-2.79, 1 V 2.82, 1 Nb 2.84
Mo 0.4022 0.5528 0.8044  3 V 2.65-2.81, 4 Nb 2.79-2.81
V 0.6071 0.5562 0.2141  5 Mo 2.65-2.81, 3 Nb 2.82-2.89
Mo 0.1927 0.3987 0.3853  5 Nb 2.63-2.76, 2 V 2.70
Nb 0.9985 0.7351 0.9970  3 Nb 2.66-2.84, 3 Mo 2.76-2.81, 2 V 2.89
Mo 0.5978 0.0528 0.1956  3 V 2.65-2.81, 4 Nb 2.79-2.81
Mo 0.8073 0.8987 0.6147  5 Nb 2.63-2.76, 2 V 2.70
V 0.3929 0.0562 0.7859  5 Mo 2.65-2.81, 3 Nb 2.82-2.89
Nb 0.1970 0.8916 0.3939  6 Mo 2.63-2.79, 1 V 2.82, 1 Nb 2.84
Nb 0.0015 0.2351 0.0030  3 Nb 2.66-2.84, 3 Mo 2.76-2.81, 2 V 2.89

Values from the calculation:
Its magnetization is 0.0 μB per cell.


#x
## Nb2VMo2 (GGA-PBE)

Data for a relaxed structure of Nb2VMo2.

Lattice parameters (Å, degrees): 4.4799 4.4858 5.3485 65.12 65.24 60.04
With the nearest neighbours (Å) after each atom.
Atoms (fractional coordinates):
Mo 0.1001 0.1003 0.1996  4 Nb 2.73-2.74, 3 V 2.75-2.76, 1 Mo 2.81
Nb 0.7043 0.7046 0.3867  4 Mo 2.73-2.74, 3 Nb 2.80, 1 V 2.87
Mo 0.8999 0.8997 0.8004  4 Nb 2.73-2.74, 3 V 2.75-2.76, 1 Mo 2.81
V 0.5000 0.5000 0.0000  6 Mo 2.75-2.76, 2 Nb 2.87
Nb 0.2957 0.2954 0.6133  4 Mo 2.73-2.74, 3 Nb 2.80, 1 V 2.87

Values from the calculation:
Its magnetization is 0.0 μB per cell.


Which of them is the most stable? Correct choice: #x.